A relaxed NiW2Br crystal. Source: Alexandria, functional GGA-PBE.

Summary:
Energy above the most stable polymorph in this dataset (eV/f.u.): 2.32
Raw total energy (eV per cell): -29.12
Calculated density (g/cm3): 13.371
Density of states at the Fermi level (states/eV per cell): 3.45
Formation energy (no corrections) (eV per atom): 1.0593

a = 5.1955 Å, b = 5.0904 Å, c = 2.8660 Å
α = 80.51°, β = 76.79°, γ = 116.49°
Fractional coordinates of all 4 atoms:
W: 0.0000 0.0000 0.0000
W: 0.5000 0.0000 0.5000
Br: 0.0000 0.5000 0.5000
Ni: 0.5000 0.5000 0.0000

A relaxed NiW2Br crystal. Source: Alexandria, functional GGA-PBE.

Summary:
Energy above the most stable polymorph in this dataset (eV/f.u.): 0.49
Raw total energy (eV per cell): -30.95
Calculated density (g/cm3): 12.952
Density of states at the Fermi level (states/eV per cell): 5.25
Formation energy (no corrections) (eV per atom): 0.6035

a = 8.8520 Å, b = 8.8520 Å, c = 8.8520 Å
α = 19.10°, β = 19.10°, γ = 19.10°
Fractional coordinates of all 4 atoms:
Br: 0.5021 0.5021 0.5021
Ni: 0.7450 0.7450 0.7450
W: 0.2477 0.2477 0.2477
W: 0.0052 0.0052 0.0052

A relaxed NiWBr2 crystal. Source: Alexandria, functional GGA-PBE.

Summary:
Energy above the most stable polymorph in this dataset (eV/f.u.): 0.00
Raw total energy (eV per cell): -21.51
Calculated density (g/cm3): 7.593
Density of states at the Fermi level (states/eV per cell): 1.86
Formation energy (no corrections) (eV per atom): 0.1427

a = 3.2683 Å, b = 3.2236 Å, c = 8.5238 Å
α = 78.47°, β = 90.00°, γ = 90.00°
Fractional coordinates of all 4 atoms:
W: 0.5000 0.9699 0.6820
Br: 0.0000 0.8466 0.9152
Br: 0.5000 0.1359 0.3677
Ni: 0.0000 0.5476 0.5350